i) The following is a PBE calculation of a geometry-optimized Cu2SnB2 structure, from Alexandria.

Geometry as POSCAR:
```
Cu2SnB2
1.0
-1.213 -4.663 3.243
5.250 -2.186 -1.180
1.379 1.707 2.971
Cu B Sn
4 4 2
Cartesian
3.935 -1.292 1.213
1.481 -3.850 3.821
1.076 -1.097 2.427
4.340 -4.045 2.607
2.055 -5.510 2.213
-0.205 -3.013 1.826
4.242 -3.836 0.236
1.982 -1.339 -0.150
0.000 0.000 0.000
2.019 -3.425 1.031
```

Results
Total moment: 0.0 Bohr magnetons per cell
D(E_F): 5.937 states/eV/cell
SG: No. 127

ii) The following is a PBE calculation of a geometry-optimized Cu2SnB2 structure, from Alexandria.

Geometry as POSCAR:
```
Cu2SnB2
1.0
-0.257 -1.286 -3.412
-0.939 -3.282 1.307
-4.917 -1.097 -1.175
Cu B Sn
2 2 1
Cartesian
-2.886 -2.333 -2.820
-3.227 -3.331 -0.460
-4.706 -3.603 -2.205
-1.407 -2.062 -1.075
0.000 0.000 0.000
```

Results
Total moment: 0.0 Bohr magnetons per cell
D(E_F): 2.083 states/eV/cell
SG: No. 139

Stability order, top to bottom: ii), i)

i) The following is a PBE calculation of a geometry-optimized Sr2Cu2B structure, from Alexandria.

Geometry as POSCAR:
```
Sr2Cu2B
1.0
3.489 0.000 0.000
0.000 3.489 0.000
1.744 1.744 8.905
Cu Sr B
2 2 1
Cartesian
1.744 3.489 4.453
3.489 1.744 4.453
3.489 3.489 7.202
1.744 1.744 1.703
0.000 0.000 0.000
```

Results
Total moment: 0.0 Bohr magnetons per cell
D(E_F): 3.158 states/eV/cell
SG: No. 139

ii) The following is a PBE calculation of a geometry-optimized Sr2Cu2B structure, from Alexandria.

Geometry as POSCAR:
```
Sr2Cu2B
1.0
-1.027 -7.873 1.355
7.794 -1.288 -1.573
0.890 0.563 3.947
B Sr Cu
2 4 4
Cartesian
0.000 0.000 0.000
3.383 -4.580 -0.109
0.735 -5.627 0.637
6.032 -3.534 -0.855
2.269 -1.859 -0.246
4.497 -7.302 0.028
2.598 -7.265 2.565
0.865 -2.957 2.341
6.790 -5.640 1.389
5.058 -1.332 1.164
```

Results
Total moment: 0.0 Bohr magnetons per cell
D(E_F): 8.835 states/eV/cell
SG: No. 127

Stability order, top to bottom: i), ii)

i) The following is a PBE calculation of a geometry-optimized TaCu3B structure, from Alexandria.

Geometry as POSCAR:
```
TaCu3B
1.0
-0.743 -2.667 2.829
-1.972 -2.224 -2.614
3.351 -1.900 -0.912
Ta Cu B
1 3 1
Cartesian
0.318 -3.396 -0.348
-0.986 -1.112 -1.307
1.675 -0.950 -0.456
-0.371 -1.334 1.415
0.000 0.000 0.000
```

Results
Total moment: 0.0 Bohr magnetons per cell
D(E_F): 2.152 states/eV/cell
SG: No. 221

ii) The following is a PBE calculation of a geometry-optimized TaCu3B structure, from Alexandria.

Geometry as POSCAR:
```
TaCu3B
1.0
-0.784 -0.276 -4.742
3.214 -3.570 -0.323
-3.497 -3.219 0.765
B Ta Cu
1 1 3
Cartesian
-0.533 -3.532 -2.150
0.000 0.000 0.000
-0.392 -0.138 -2.371
-1.749 -1.609 0.383
1.607 -1.785 -0.162
```

Results
Total moment: 0.0 Bohr magnetons per cell
D(E_F): 4.702 states/eV/cell
SG: No. 221

Stability order, top to bottom: i), ii)

i) The following is a PBE calculation of a geometry-optimized ZrTaCu2B structure, from Alexandria.

Geometry as POSCAR:
```
ZrTaCu2B
1.0
-3.734 1.177 1.087
-0.236 -3.383 2.851
1.588 2.345 2.914
Zr B Ta Cu
1 1 1 2
Cartesian
-1.191 0.070 3.426
0.000 0.000 0.000
-0.118 -1.691 1.426
0.794 1.173 1.457
-1.867 0.588 0.544
```

Results
Total moment: 0.0 Bohr magnetons per cell
D(E_F): 2.546 states/eV/cell
SG: No. 123

ii) The following is a PBE calculation of a geometry-optimized ZrTaCu2B structure, from Alexandria.

Geometry as POSCAR:
```
ZrTaCu2B
1.0
4.023 0.000 0.000
0.000 4.552 0.000
0.000 0.000 4.023
Ta B Cu Zr
1 1 2 1
Cartesian
2.011 2.276 2.011
0.000 0.000 0.000
0.000 0.000 2.011
2.011 0.000 0.000
0.000 2.276 0.000
```

Results
Total moment: 0.0 Bohr magnetons per cell
D(E_F): 3.492 states/eV/cell
SG: No. 123

Stability order, top to bottom: i), ii)

i) The following is a PBE calculation of a geometry-optimized CuTcB2 structure, from Alexandria.

Geometry as POSCAR:
```
CuTcB2
1.0
-3.483 0.174 4.414
-2.473 -4.735 -1.765
-1.278 -3.689 2.722
B Tc Cu
4 2 2
Cartesian
-2.749 -1.408 3.146
-2.357 -3.857 0.201
-3.233 -4.554 3.006
-6.130 -6.680 4.388
0.000 0.000 0.000
-3.870 -2.898 4.230
-3.364 -5.352 1.141
-2.978 -2.281 1.325
```

Results
Total moment: 0.0 Bohr magnetons per cell
D(E_F): 0.639 states/eV/cell
SG: No. 122

ii) The following is a PBE calculation of a geometry-optimized CuTcB2 structure, from Alexandria.

Geometry as POSCAR:
```
CuTcB2
1.0
0.000 2.673 2.673
2.673 0.000 2.673
2.673 2.673 0.000
Tc Cu B
1 1 2
Cartesian
2.673 2.673 2.673
0.000 0.000 0.000
1.336 1.336 1.336
4.009 4.009 4.009
```

Results
Total moment: 0.0 Bohr magnetons per cell
D(E_F): 2.088 states/eV/cell
SG: No. 225

Stability order, top to bottom: ii), i)

i) The following is a PBE calculation of a geometry-optimized CuTcB3 structure, from Alexandria.

Geometry as POSCAR:
```
CuTcB3
1.0
4.049 0.000 0.000
0.000 4.049 0.000
0.000 0.000 4.049
B Cu Tc
3 1 1
Cartesian
2.024 0.000 0.000
0.000 0.000 2.024
0.000 2.024 0.000
2.024 2.024 2.024
0.000 0.000 0.000
```

Results
Total moment: 0.0 Bohr magnetons per cell
D(E_F): 1.617 states/eV/cell
SG: No. 221

ii) The following is a PBE calculation of a geometry-optimized CuTcB3 structure, from Alexandria.

Geometry as POSCAR:
```
CuTcB3
1.0
-2.203 2.863 -0.954
-2.970 -2.266 0.057
-0.535 0.792 3.612
B Cu Tc
3 1 1
Cartesian
-1.485 -1.133 0.029
-1.101 1.432 -0.477
-0.267 0.396 1.806
0.000 0.000 0.000
-2.854 0.694 1.358
```

Results
Total moment: 0.5 Bohr magnetons per cell
D(E_F): 4.957 states/eV/cell
SG: No. 221

Stability order, top to bottom: i), ii)

i) The following is a PBE calculation of a geometry-optimized Cu3BTe structure, from Alexandria.

Geometry as POSCAR:
```
Cu3BTe
1.0
-0.231 -4.045 0.955
3.976 -0.493 -1.128
1.210 0.849 3.891
B Cu Te
1 3 1
Cartesian
0.000 0.000 0.000
0.605 0.425 1.946
1.988 -0.247 -0.564
-0.116 -2.022 0.477
2.477 -1.844 1.859
```

Results
Total moment: 0.0 Bohr magnetons per cell
D(E_F): 3.210 states/eV/cell
SG: No. 221

ii) The following is a PBE calculation of a geometry-optimized Cu3BTe structure, from Alexandria.

Geometry as POSCAR:
```
Cu3BTe
1.0
-3.720 2.934 1.077
-2.949 -2.742 -2.718
-1.033 -2.735 3.881
Cu Te B
3 1 1
Cartesian
-1.475 -1.371 -1.359
-1.860 1.467 0.538
-0.517 -1.367 1.940
0.000 0.000 0.000
-3.851 -1.272 1.120
```

Results
Total moment: 0.0 Bohr magnetons per cell
D(E_F): 3.033 states/eV/cell
SG: No. 221

Stability order, top to bottom: i), ii)

i) The following is a PBE calculation of a geometry-optimized CuBTe3 structure, from Alexandria.

Geometry as POSCAR:
```
CuBTe3
1.0
4.817 0.000 0.000
0.000 4.817 0.000
0.000 0.000 4.817
Te Cu B
3 1 1
Cartesian
2.408 0.000 0.000
0.000 2.408 0.000
0.000 0.000 2.408
2.408 2.408 2.408
0.000 0.000 0.000
```

Results
Total moment: 0.0 Bohr magnetons per cell
D(E_F): 4.260 states/eV/cell
SG: No. 221

ii) The following is a PBE calculation of a geometry-optimized CuBTe3 structure, from Alexandria.

Geometry as POSCAR:
```
CuBTe3
1.0
5.104 0.000 0.000
0.000 5.104 0.000
0.000 0.000 5.104
Te B Cu
3 1 1
Cartesian
0.000 0.000 2.552
0.000 2.552 0.000
2.552 0.000 0.000
2.552 2.552 2.552
0.000 0.000 0.000
```

Results
Total moment: 0.0 Bohr magnetons per cell
D(E_F): 4.483 states/eV/cell
SG: No. 221

Stability order, top to bottom: i), ii)